Here is Pm2TmC after structural relaxation from Alexandria. Energies are from PBE-GGA.

Summary:
Energy relative to the elements, meV/atom: 53
Density of states at the Fermi level, states/eV/f.u.: 4.10
Mass density, g/cm3: 7.106
Volume, Å³/atom: 27.5

abc: 3.5980 3.5980 29.4493
angles: 90.00 90.00 120.00
Space group R-3m (No. 166, hexagonal axes)
One atom of each set of equivalent atoms:
Pm 0.0000 0.0000 0.1188
Tm 0.0000 0.0000 0.0000
C 0.0000 0.0000 0.5000